Entry 1:
This record from Alexandria via LeMat-Bulk describes an optimized crystal structure of ErNpPa2N4. The functional is GGA-PBE.

Lattice parameters (Å, degrees): 6.0093 3.4651 6.0244 90.00 109.37 90.00
Sites, in units of the cell vectors:
Er 0.0000 0.0000 0.0000
Np 0.0000 0.5000 0.5000
Pa 0.5000 0.0000 0.5000
Pa 0.5000 0.5000 0.0000
N 0.2500 0.0000 0.7540
N 0.2509 0.5000 0.2485
N 0.7491 0.5000 0.7515
N 0.7500 0.0000 0.2460

Calculated values
D(E_F) = 8.7 states/eV per cell
VASP energy = -10.244 eV/atom
SG = P2/m (10)


Entry 2:
This record from Alexandria via LeMat-Bulk describes an optimized crystal structure of K2AcInI6. The functional is GGA-PBE.

Lattice parameters (Å, degrees): 9.2570 9.2570 9.2570 56.82 56.82 56.82
Sites, in units of the cell vectors:
K 0.0000 0.0000 0.0000
K 0.4924 0.4924 0.4924
Ac 0.7987 0.7987 0.7987
In 0.2922 0.2922 0.2922
I 0.0584 0.4329 0.6806
I 0.1703 0.9043 0.5878
I 0.4329 0.6806 0.0584
I 0.5878 0.1703 0.9043
I 0.6806 0.0584 0.4329
I 0.9043 0.5878 0.1703

Calculated values
D(E_F) = 0.0 states/eV per cell
VASP energy = -3.136 eV/atom
SG = R3 (146)


Entry 3:
This record from Alexandria via LeMat-Bulk describes an optimized crystal structure of ErMgPaO6. The functional is GGA-PBE.

Lattice parameters (Å, degrees): 5.5043 5.5043 4.7646 90.00 90.00 120.00
Sites, in units of the cell vectors:
Er 0.0000 0.0000 0.0000
Mg 0.6667 0.3333 0.0000
Pa 0.3333 0.6667 0.5000
O 0.3507 0.0012 0.7609
O 0.3507 0.3496 0.2391
O 0.6504 0.0012 0.2391
O 0.6504 0.6493 0.7609
O 0.9988 0.3496 0.7609
O 0.9988 0.6493 0.2391

Calculated values
D(E_F) = 7.0 states/eV per cell
VASP energy = -7.782 eV/atom
SG = P312 (149)


Entry 4:
This record from Alexandria via LeMat-Bulk describes an optimized crystal structure of CeNd2Mg. The functional is GGA-PBE.

Lattice parameters (Å, degrees): 5.6051 5.6051 5.6051 60.00 60.00 60.00
Sites, in units of the cell vectors:
Ce 0.0000 0.0000 0.0000
Nd 0.2500 0.2500 0.2500
Nd 0.7500 0.7500 0.7500
Mg 0.5000 0.5000 0.5000

Calculated values
D(E_F) = 8.9 states/eV per cell
energy of formation = 132.6 meV per atom
SG = Fm-3m (225)
polymorph energy (0 for the lowest one) = 136 meV per atom


Entry 5:
This record from Alexandria via LeMat-Bulk describes an optimized crystal structure of CuSi2As. The functional is GGA-PBE.

Lattice parameters (Å, degrees): 5.0741 5.0741 2.7115 90.00 90.00 117.75
Sites, in units of the cell vectors:
Cu 0.0000 0.0000 0.0000
Si 0.0000 0.5000 0.5000
Si 0.5000 0.0000 0.5000
As 0.5000 0.5000 0.0000

Calculated values
D(E_F) = 1.1 states/eV per cell
SG = Cmmm (65)
polymorph energy (0 for the lowest one) = 233 meV per atom


Entry 6:
This record from Alexandria via LeMat-Bulk describes an optimized crystal structure of Pm8Ho4Sc. The functional is GGA-PBE.

Lattice parameters (Å, degrees): 7.7962 7.7962 7.7962 90.40 90.40 90.40
Sites, in units of the cell vectors:
Pm 0.2429 0.2429 0.2429
Pm 0.2426 0.2426 0.7531
Pm 0.2426 0.7531 0.2426
Pm 0.2469 0.7574 0.7574
Pm 0.7531 0.2426 0.2426
Pm 0.7574 0.2469 0.7574
Pm 0.7574 0.7574 0.2469
Pm 0.7571 0.7571 0.7571
Ho 0.0000 0.0000 0.0000
Ho 0.0000 0.5000 0.5000
Ho 0.5000 0.0000 0.5000
Ho 0.5000 0.5000 0.0000
Sc 0.5000 0.5000 0.5000

Calculated values
D(E_F) = 21.4 states/eV per cell
energy of formation = 479.1 meV per atom
SG = R-3m (166)


Number 1: total magnetization 0.4368 μB per atom. Number 2: total magnetization 0.0000 μB per atom. Number 3: total magnetization 0.2228 μB per atom. Number 4: total magnetization 0.3020 μB per atom. Number 5: total magnetization 0.0000 μB per atom. Number 6: total magnetization 0.0000 μB per atom.